1.
The following is a PBE-GGA calculation of a geometry-optimized MgIrS2Cl structure, from the Alexandria database.

Cell lengths 4.777, 4.777, 4.507 Å; angles 90.00, 90.00, 90.00 degrees
Element x y z (fractional)
S 0.500 0.000 0.000
S 0.000 0.500 0.000
Mg 0.000 0.000 0.000
Cl 0.000 0.000 0.500
Ir 0.500 0.500 0.500

Offset from the most stable computed form: 699 meV/atom
M_tot: 1.82 μB/cell
Formation energy (no corrections): 0.721 eV/atom

=====

2.
The following is a PBE-GGA calculation of a geometry-optimized CsSr2H structure, from the Alexandria database.

Cell lengths 6.629, 6.629, 6.629 Å; angles 60.00, 60.00, 60.00 degrees
Element x y z (fractional)
Sr 0.750 0.750 0.750
Sr 0.250 0.250 0.250
Cs 0.500 0.500 0.500
H 0.000 0.000 0.000

Offset from the most stable computed form: 718 meV/atom
M_tot: 0.00 μB/cell

=====

3.
The following is a PBE-GGA calculation of a geometry-optimized Cu2HgIrF structure, from the Alexandria database.

Cell lengths 4.677, 5.216, 4.677 Å; angles 90.00, 90.00, 90.00 degrees
Element x y z (fractional)
Cu 0.500 0.000 0.000
Cu 0.000 0.000 0.500
Hg 0.000 0.500 0.000
F 0.500 0.500 0.500
Ir 0.000 0.000 0.000

M_tot: 0.85 μB/cell
Formation energy (no corrections): 0.686 eV/atom

=====

4.
The following is a PBE-GGA calculation of a geometry-optimized CaSmNi2 structure, from the Alexandria database.

Cell lengths 3.951, 4.104, 5.667 Å; angles 90.00, 110.39, 90.00 degrees
Element x y z (fractional)
Ni 0.148 0.500 0.836
Ni 0.024 0.000 0.588
Sm 0.720 0.000 0.978
Ca 0.439 0.500 0.417

Offset from the most stable computed form: 0 meV/atom
M_tot: 0.00 μB/cell

=====

5.
The following is a PBE-GGA calculation of a geometry-optimized Ca2Ag3Hg4 structure, from the Alexandria database.

Cell lengths 4.688, 5.304, 9.522 Å; angles 77.51, 90.00, 63.77 degrees
Element x y z (fractional)
Hg 0.972 0.057 0.649
Hg 0.028 0.943 0.351
Hg 0.657 0.686 0.892
Hg 0.343 0.314 0.108
Ag 0.654 0.692 0.562
Ag 0.346 0.308 0.438
Ag 0.000 0.000 0.000
Ca 0.317 0.365 0.771
Ca 0.683 0.635 0.229

E_tot: -16.16 eV per cell
M_tot: 0.00 μB/cell